Record 1
Below is a relaxed structure of ZrPaPb2, with properties calculated at the PBE level.

Lattice parameters (Å, degrees): 3.9555 3.9555 6.5815 90.00 90.00 90.00
Last column: nearest neighbours and their distance in Å.
Fractional positions:
Pa 0.5000 0.5000 0.5000  2 Zr 3.29, 8 Pb 3.30
Pb 0.0000 0.0000 0.7647  1 Pb 3.10, 4 Zr 3.20, 4 Pa 3.30
Pb 0.0000 0.0000 0.2353  1 Pb 3.10, 4 Zr 3.20, 4 Pa 3.30
Zr 0.5000 0.5000 0.0000  8 Pb 3.20, 2 Pa 3.29

## Properties
Energy of formation   0.03 eV/atom
Total moment   1.07 μB/f.u.
DOS at the Fermi energy   5.55 states/eV per cell

=====

Record 2
Below is a relaxed structure of Be2Cr3, with properties calculated at the PBE level.

Lattice parameters (Å, degrees): 3.7309 3.7309 4.5894 90.00 90.00 120.00
Last column: nearest neighbours and their distance in Å.
Fractional positions:
Cr 0.0000 0.0000 0.0000  6 Be 2.24
Cr 0.6667 0.3333 0.6230  5 Be 2.23-2.42, 3 Cr 2.43
Cr 0.3333 0.6667 0.3770  5 Be 2.23-2.42, 3 Cr 2.43
Be 0.6667 0.3333 0.1361  8 Cr 2.23-2.42, 3 Be 2.49
Be 0.3333 0.6667 0.8639  8 Cr 2.23-2.42, 3 Be 2.49

## Properties
Energy of formation   0.48 eV/atom
Total moment   2.07 μB/f.u.
DOS at the Fermi energy   5.36 states/eV per cell

=====

Record 3
Below is a relaxed structure of CsVS2, with properties calculated at the PBE level.

Lattice parameters (Å, degrees): 3.7608 3.7608 8.1910 90.00 90.00 120.00
Last column: nearest neighbours and their distance in Å.
Fractional positions:
Cs 0.3333 0.6667 0.4508  4 S 3.25-3.30
S 0.3333 0.6667 0.8535  3 V 2.46
S 0.6667 0.3333 0.1552  3 V 2.53
V 0.0000 0.0000 0.9955  6 S 2.46-2.53

## Properties
Formation energy from raw total energies   -0.818 eV/atom
Total moment   2.00 μB/f.u.
DOS at the Fermi energy   3.96 states/eV per cell

=====

Record 4
Below is a relaxed structure of AlTl2F, with properties calculated at the PBE level.

Lattice parameters (Å, degrees): 4.9939 4.9939 4.9939 60.00 60.00 60.00
Last column: nearest neighbours and their distance in Å.
Fractional positions:
Tl 0.7500 0.7500 0.7500  4 Al 3.06, 4 F 3.06
Tl 0.2500 0.2500 0.2500  4 F 3.06, 4 Al 3.06
Al 0.5000 0.5000 0.5000  8 Tl 3.06
F 0.0000 0.0000 0.0000  8 Tl 3.06

## Properties
Formation energy from raw total energies   -0.439 eV/atom
Total moment   0.00 μB/f.u.
DOS at the Fermi energy   2.20 states/eV per cell

=====

Record 5
Below is a relaxed structure of TmSc2Mo, with properties calculated at the PBE level.

Lattice parameters (Å, degrees): 3.4826 3.4826 7.4571 90.00 90.00 90.00
Last column: nearest neighbours and their distance in Å.
Fractional positions:
Sc 0.0000 0.0000 0.1969  4 Mo 2.87, 1 Sc 2.94
Sc 0.0000 0.0000 0.8031  4 Mo 2.87, 1 Sc 2.94
Tm 0.5000 0.5000 0.5000  8 Sc 3.34, 4 Tm 3.48, 2 Mo 3.73
Mo 0.5000 0.5000 0.0000  8 Sc 2.87

## Properties
Energy of formation   0.14 eV/atom
Total moment   0.00 μB/f.u.
DOS at the Fermi energy   5.20 states/eV per cell

=====

Record 6
Below is a relaxed structure of SrHfGaNi2, with properties calculated at the PBE level.

Lattice parameters (Å, degrees): 4.6807 6.0091 4.6807 90.00 90.00 90.00
Last column: nearest neighbours and their distance in Å.
Fractional positions:
Hf 0.0000 0.0000 0.0000  4 Ni 2.34
Ni 0.5000 0.0000 0.0000  2 Hf 2.34
Ni 0.0000 0.0000 0.5000  2 Hf 2.34
Ga 0.5000 0.5000 0.5000  4 Sr 3.31
Sr 0.0000 0.5000 0.0000  2 Hf 3.00, 4 Ga 3.31

## Properties
Energy of formation   0.95 eV/atom
Total moment   0.00 μB/f.u.
DOS at the Fermi energy   4.14 states/eV per cell

=====

Record 7
Below is a relaxed structure of Sc2MoPt, with properties calculated at the PBE level.

Lattice parameters (Å, degrees): 2.9128 4.4804 5.5986 90.00 90.00 90.00
Last column: nearest neighbours and their distance in Å.
Fractional positions:
Pt 0.5000 0.5000 0.7795  6 Sc 2.77-2.86, 2 Pt 2.91
Sc 0.5000 0.5000 0.2852  2 Pt 2.77-2.83, 4 Mo 2.87, 2 Sc 2.91
Sc 0.0000 0.0000 0.9636  2 Mo 2.75-2.84, 4 Pt 2.86, 2 Sc 2.91
Mo 0.0000 0.0000 0.4716  6 Sc 2.75-2.87, 2 Mo 2.91

## Properties
Energy of formation   -0.25 eV/atom
Total moment   0.00 μB/f.u.
DOS at the Fermi energy   4.58 states/eV per cell

=====

Record 8
Below is a relaxed structure of La2PuPd9, with properties calculated at the PBE level.

Lattice parameters (Å, degrees): 4.2005 4.2005 12.6243 90.00 90.00 90.00
Last column: nearest neighbours and their distance in Å.
Fractional positions:
Pd 0.5000 0.0000 0.1598  8 Pd 2.91-3.02, 2 Pu 2.91, 2 La 3.02
Pd 0.5000 0.0000 0.8402  2 Pu 2.91, 8 Pd 2.91-3.02, 2 La 3.02
Pd 0.0000 0.5000 0.8402  8 Pd 2.91-3.02, 2 Pu 2.91, 2 La 3.02
Pd 0.5000 0.5000 0.3312  4 La 2.97, 8 Pd 2.99-3.02
Pd 0.5000 0.5000 0.6688  4 La 2.97, 8 Pd 2.99-3.02
Pd 0.5000 0.5000 0.0000  8 Pd 2.91, 4 Pu 2.97
Pd 0.0000 0.5000 0.1598  2 Pu 2.91, 8 Pd 2.91-3.02, 2 La 3.02
Pd 0.5000 0.0000 0.5000  8 Pd 2.97-2.99, 4 La 2.99
Pd 0.0000 0.5000 0.5000  8 Pd 2.97-2.99, 4 La 2.99
La 0.0000 0.0000 0.6684  12 Pd 2.97-3.02
La 0.0000 0.0000 0.3316  12 Pd 2.97-3.02
Pu 0.0000 0.0000 0.0000  12 Pd 2.91-2.97

## Properties
Energy of formation   -0.72 eV/atom
Total moment   4.34 μB/f.u.
DOS at the Fermi energy   19.03 states/eV per cell

=====

Record 9
Below is a relaxed structure of MgGaIN2, with properties calculated at the PBE level.

Lattice parameters (Å, degrees): 4.3996 4.3996 6.0770 90.00 90.00 90.00
Last column: nearest neighbours and their distance in Å.
Fractional positions:
I 0.0000 0.0000 0.5000  2 Mg 3.04, 4 Ga 3.11
Mg 0.0000 0.0000 0.0000  4 N 2.20
N 0.0000 0.5000 0.0000  2 Mg 2.20
N 0.5000 0.0000 0.0000  2 Mg 2.20
Ga 0.5000 0.5000 0.5000  4 I 3.11

## Properties
Formation energy from raw total energies   1.066 eV/atom
Total moment   4.00 μB/f.u.
DOS at the Fermi energy   0.79 states/eV per cell

=====

Record 10
Below is a relaxed structure of Pm6Nd2Er5, with properties calculated at the PBE level.

Lattice parameters (Å, degrees): 3.6324 11.7939 20.4238 90.00 90.00 90.00
Last column: nearest neighbours and their distance in Å.
Fractional positions:
Pm 0.0000 0.5589 0.4225  5 Pm 3.46-3.75, 6 Er 3.50-3.66
Pm 0.5000 0.3232 0.1269  2 Er 3.33, 4 Pm 3.53-3.63, 2 Nd 3.70
Pm 0.5000 0.6768 0.8731  2 Er 3.33, 4 Pm 3.53-3.63, 2 Nd 3.70
Pm 0.0000 0.0799 0.3650  1 Nd 3.42, 6 Er 3.43-3.57, 4 Pm 3.53-3.63
Pm 0.5000 0.1768 0.6269  2 Er 3.33, 4 Pm 3.53-3.63, 2 Nd 3.70
Pm 0.0000 0.9411 0.9225  5 Pm 3.46-3.75, 6 Er 3.50-3.66
Pm 0.0000 0.9201 0.6350  1 Nd 3.42, 6 Er 3.43-3.57, 4 Pm 3.53-3.63
Pm 0.0000 0.0589 0.0775  5 Pm 3.46-3.75, 6 Er 3.50-3.66
Pm 0.0000 0.4201 0.8650  1 Nd 3.42, 6 Er 3.43-3.57, 4 Pm 3.53-3.63
Pm 0.0000 0.5799 0.1350  1 Nd 3.42, 6 Er 3.43-3.57, 4 Pm 3.53-3.63
Pm 0.5000 0.8232 0.3731  2 Er 3.33, 4 Pm 3.53-3.63, 2 Nd 3.70
Pm 0.0000 0.4411 0.5775  5 Pm 3.46-3.75, 6 Er 3.50-3.66
Er 0.5000 0.8005 0.0551  7 Pm 3.57-3.99, 3 Er 3.63-3.72, 2 Nd 3.76
Er 0.5000 0.4057 0.7224  5 Pm 3.33-3.50, 4 Nd 3.57-3.59, 2 Er 3.63
Er 0.5000 0.6995 0.5551  7 Pm 3.57-3.99, 3 Er 3.63-3.72, 2 Nd 3.76
Er 0.5000 0.0000 0.5000  6 Pm 3.33-3.43, 4 Er 3.63-3.72
Er 0.5000 0.0943 0.2224  5 Pm 3.33-3.50, 4 Nd 3.57-3.59, 2 Er 3.63
Er 0.5000 0.9057 0.7776  5 Pm 3.33-3.50, 4 Nd 3.57-3.59, 2 Er 3.63
Er 0.5000 0.3005 0.4449  7 Pm 3.57-3.99, 3 Er 3.63-3.72, 2 Nd 3.76
Er 0.5000 0.5943 0.2776  5 Pm 3.33-3.50, 4 Nd 3.57-3.59, 2 Er 3.63
Er 0.5000 0.5000 0.0000  6 Pm 3.33-3.43, 4 Er 3.63-3.72
Er 0.5000 0.1995 0.9449  7 Pm 3.57-3.99, 3 Er 3.63-3.72, 2 Nd 3.76
Nd 0.0000 0.1662 0.7846  3 Pm 3.42-3.70, 6 Er 3.57-3.76, 2 Nd 3.63
Nd 0.0000 0.8338 0.2154  3 Pm 3.42-3.70, 6 Er 3.57-3.76, 2 Nd 3.63
Nd 0.0000 0.3338 0.2846  3 Pm 3.42-3.70, 6 Er 3.57-3.76, 2 Nd 3.63
Nd 0.0000 0.6662 0.7154  3 Pm 3.42-3.70, 6 Er 3.57-3.76, 2 Nd 3.63

## Properties
Energy of formation   0.10 eV/atom
Total moment   0.00 μB/f.u.
DOS at the Fermi energy   30.66 states/eV per cell

=====

Record 11
Below is a relaxed structure of Li2Cd4Pt, with properties calculated at the PBE level.

Lattice parameters (Å, degrees): 4.5638 4.5638 7.7478 72.87 72.87 60.00
Last column: nearest neighbours and their distance in Å.
Fractional positions:
Li 0.2628 0.2628 0.2115  8 Cd 2.66-2.95
Li 0.7372 0.7372 0.7885  8 Cd 2.66-2.95
Pt 0.0000 0.0000 0.0000  8 Cd 2.88, 6 Li 3.05
Cd 0.6139 0.6139 0.1583  4 Li 2.66-2.69, 3 Pt 2.88
Cd 0.1316 0.1316 0.6051  4 Li 2.87-2.95, 1 Pt 2.88, 6 Cd 3.05-3.15
Cd 0.8684 0.8684 0.3949  4 Li 2.87-2.95, 1 Pt 2.88, 6 Cd 3.05-3.15
Cd 0.3861 0.3861 0.8417  4 Li 2.66-2.69, 3 Pt 2.88

## Properties
Energy of formation   -0.28 eV/atom
Total moment   0.00 μB/f.u.
DOS at the Fermi energy   2.52 states/eV per cell

=====

DOS at the Fermi energy of number 2 (Be2Cr3)?
5.36 states/eV per cell

=====

Look up the DOS at the Fermi energy of the second one.
5.36 states/eV per cell